Entry 1:
A plane-wave DFT calculation with PBEsol was carried out for a geometry-optimized AlIn3As structure.

Summary:
* energy of formation: 273 kJ/mol of formula units
* energy above the most stable polymorph in this dataset: 50 meV/atom

Cell lengths 5.3234, 5.3234, 5.3234 Å; angles 90.00, 90.00, 90.00 degrees
With the nearest neighbours (Å) after each atom.
Space group Pm-3m (No. 221)
One atom of each set of equivalent atoms:
Al 0.0000 0.0000 0.0000 [1 per cell]  12 In 3.76
In 0.0000 0.5000 0.5000 [3 per cell]  2 As 2.66
As 0.5000 0.5000 0.5000 [1 per cell]  6 In 2.66

***

Entry 2:
A plane-wave DFT calculation with PBEsol was carried out for a geometry-optimized MoBr3 structure.

Summary:
* calculated total energy: -36.59 eV per cell

Cell lengths 3.2908, 10.5282, 6.5067 Å; angles 90.00, 90.00, 90.00 degrees
With the nearest neighbours (Å) after each atom.
Space group Imm2 (No. 44)
One atom of each set of equivalent atoms:
Mo 0.0000 0.0000 0.0000 [2 per cell]  6 Br 2.57
Br 0.0000 0.3373 0.6521 [4 per cell]  2 Mo 2.57
Br 0.0000 0.5000 0.1959 [2 per cell]  2 Mo 2.57

***

Entry 3:
A plane-wave DFT calculation with PBEsol was carried out for a geometry-optimized LaP2W structure.

Summary:
* energy of formation: 77 kJ/mol of formula units
* energy above the most stable polymorph in this dataset: 909 meV/atom

Cell lengths 3.0805, 3.0805, 25.9382 Å; angles 90.00, 90.00, 120.00 degrees
With the nearest neighbours (Å) after each atom.
Space group R3m (No. 160, hexagonal axes)
One atom of each set of equivalent atoms:
La 0.0000 0.0000 0.0000 [3 per cell]  3 P 3.04, 6 La 3.08, 3 W 3.33
P 0.0000 0.0000 0.2382 [3 per cell]  3 P 2.45
P 0.0000 0.0000 0.5064 [3 per cell]  3 W 2.44, 3 P 2.45
W 0.0000 0.0000 0.7754 [3 per cell]  3 P 2.44

***

Entry 4:
A plane-wave DFT calculation with PBEsol was carried out for a geometry-optimized Cs3TeF structure.

Summary:
* calculated total energy: -67.21 eV per cell

Cell lengths 8.1406, 11.5201, 8.1400 Å; angles 90.00, 90.00, 90.00 degrees
With the nearest neighbours (Å) after each atom.
Space group Pnma (No. 62)
One atom of each set of equivalent atoms:
Cs 0.0003 0.2500 0.0105 [4 per cell]  2 F 2.88
Cs 0.2443 0.0057 0.7443 [8 per cell]  2 F 2.88
Te 0.0008 0.7500 0.5002 [4 per cell]  12 Cs 3.98-4.17
F 0.0000 0.0000 0.0000 [4 per cell]  6 Cs 2.88